No. 1
Density functional theory data (PBE-GGA) for BaY2Ir2 after structural relaxation.

Summary:
As for the total energy: -69.05 eV for the cell shown. As for the energy of formation from the pure elements: -390 meV per atom. The energy above the most stable polymorph in this dataset is 70.1 kJ/mol of formula units.

Geometry as POSCAR:
```
BaY2Ir2
1.0
8.288 0.000 0.000
0.000 8.288 0.000
0.000 0.000 3.650
Y Ir Ba
4 4 2
Cartesian
1.177 5.321 1.825
7.111 2.967 1.825
2.967 1.177 1.825
5.321 7.111 1.825
1.165 2.979 0.000
5.309 1.165 0.000
7.123 5.309 0.000
2.979 7.123 0.000
4.144 4.144 0.000
0.000 0.000 0.000
```


No. 2
Density functional theory data (PBE-GGA) for Pb4O2F3 after structural relaxation.

Summary:
As for the total energy: -44.34 eV for the cell shown. As for the formation energy (no corrections): -1552 meV per atom.

Geometry as POSCAR:
```
Pb4O2F3
1.0
3.443 0.000 0.000
-1.722 6.521 1.654
0.000 -0.058 8.103
O Pb F
2 4 3
Cartesian
1.722 2.748 7.622
0.000 3.714 2.136
0.000 4.787 8.216
1.722 1.676 1.542
1.722 4.582 3.587
0.000 1.880 6.170
1.722 2.277 4.197
0.000 4.185 5.560
0.000 0.000 0.000
```


No. 3
Density functional theory data (PBE-GGA) for EuNO2 after structural relaxation.

Summary:
As for the total energy: -24.51 eV for the cell shown. As for the formation energy (no corrections): 1001 meV per atom.

Geometry as POSCAR:
```
EuNO2
1.0
3.219 0.000 0.000
1.609 2.788 0.000
1.609 0.929 6.251
N O Eu
1 2 1
Cartesian
3.219 1.858 3.126
4.828 2.788 2.233
1.609 0.929 4.018
0.000 0.000 0.000
```


No. 4
Density functional theory data (PBE-GGA) for PmSm6Sc8 after structural relaxation.

Summary:
As for the total energy: -80.78 eV for the cell shown. As for the energy of formation from the pure elements: 196 meV per atom.

Geometry as POSCAR:
```
PmSm6Sc8
1.0
9.284 0.000 0.000
4.642 8.040 0.000
4.642 2.680 5.823
Sm Sc Pm
6 8 1
Cartesian
11.370 5.558 4.534
8.413 3.455 4.534
10.156 7.265 1.289
7.199 5.163 1.289
10.498 3.653 1.289
8.070 7.067 4.534
4.642 2.680 1.818
11.578 2.258 4.077
5.451 4.924 4.077
13.118 5.796 1.746
10.824 8.898 4.077
13.926 8.040 4.006
7.745 1.823 1.746
6.990 8.462 1.746
0.000 0.000 0.000
```


No. 5
Density functional theory data (PBE-GGA) for YCu2Te after structural relaxation.

Summary:
As for the total energy: -19.18 eV for the cell shown. As for the formation energy (no corrections): -346 meV per atom.

Geometry as POSCAR:
```
YCu2Te
1.0
4.313 0.000 0.000
0.000 3.829 -0.023
0.000 0.028 5.262
Te Cu Y
1 2 1
Cartesian
2.156 0.964 1.310
0.000 0.985 5.113
0.000 0.971 2.768
2.156 2.893 3.929
```


What did the third record say?
Density functional theory data (PBE-GGA) for EuNO2 after structural relaxation.

Summary:
As for the total energy: -24.51 eV for the cell shown. As for the formation energy (no corrections): 1001 meV per atom.

Geometry as POSCAR:
```
EuNO2
1.0
3.219 0.000 0.000
1.609 2.788 0.000
1.609 0.929 6.251
N O Eu
1 2 1
Cartesian
3.219 1.858 3.126
4.828 2.788 2.233
1.609 0.929 4.018
0.000 0.000 0.000
```